# 1
The following is a DFT calculation (PBE) of crystalline PrBiTe3 at its relaxed geometry.

The total DFT energy (no corrections) is -4.35 eV per atom. Its magnetic moment is 0.00 μB per formula unit. Its energy relative to the elements, uncorrected is -3.65 eV per formula unit.

It has space group C2/m (No. 12), with a = 18.853 Å, b = 4.582 Å, c = 8.588 Å, α = 90.00°, β = 97.08° and γ = 90.00°. The inequivalent atoms are Pr at (0.208, 0.000, 0.244), Bi at (0.060, 0.500, 0.698), Te at (0.032, 0.000, 0.217), Te at (0.163, 0.500, 0.990) and Te at (0.182, 0.000, 0.607).



# 2
The following is a DFT calculation (PBE) of crystalline Pr10Bi3Te3 at its relaxed geometry.

The total DFT energy (no corrections) is -5.24 eV per atom. Its magnetic moment is 0.00 μB per formula unit. Its energy relative to the elements, uncorrected is -15.02 eV per formula unit.

It has space group P-62m (No. 189), with a = 9.5148 Å, b = 9.5148 Å, c = 6.5434 Å, α = 90.00°, β = 90.00° and γ = 120.00°. The inequivalent atoms are Pr at (0.0000, 0.2534, 0.0000), Pr at (0.0000, 0.7471, 0.5000), Pr at (0.3333, 0.6667, 0.2504), Bi at (0.0000, 0.6131, 0.0000) and Te at (0.0000, 0.3841, 0.5000).



# 3
The following is a DFT calculation (PBE) of crystalline Pr3Bi2Te at its relaxed geometry.

The total DFT energy (no corrections) is -5.35 eV per atom. Its magnetic moment is 0.00 μB per formula unit. As for the polymorph energy (0 for the lowest one): 2 meV per atom. Its energy relative to the elements, uncorrected is -6.87 eV per formula unit.

It has space group Immm (No. 71), with a = 4.619 Å, b = 6.523 Å, c = 13.782 Å, α = 90.00°, β = 90.00° and γ = 90.00°. The inequivalent atoms are Pr at (0.000, 0.000, 0.000), Pr at (0.000, 0.000, 0.332), Bi at (0.000, 0.500, 0.333) and Te at (0.000, 0.500, 0.000).



# 4
The following is a DFT calculation (PBE) of crystalline Pr5BiTe4 at its relaxed geometry.

The total DFT energy (no corrections) is -5.39 eV per atom. Its magnetic moment is 0.00 μB per formula unit. As for the polymorph energy (0 for the lowest one): 2 meV per atom. Its energy relative to the elements, uncorrected is -13.53 eV per formula unit.

It has space group I4/mmm (No. 139), with a = 4.557 Å, b = 4.557 Å, c = 32.173 Å, α = 90.00°, β = 90.00° and γ = 90.00°. The inequivalent atoms are Pr at (0.000, 0.000, 0.000), Pr at (0.000, 0.000, 0.201), Pr at (0.000, 0.000, 0.400), Bi at (0.000, 0.000, 0.500), Te at (0.000, 0.000, 0.100) and Te at (0.000, 0.000, 0.300).



# 5
The following is a DFT calculation (PBE) of crystalline Pr5Bi2Te2 at its relaxed geometry.

The total DFT energy (no corrections) is -5.27 eV per atom. Its magnetic moment is 0.00 μB per formula unit. Its energy relative to the elements, uncorrected is -9.52 eV per formula unit.

It has space group Cmce (No. 64), with a = 16.193 Å, b = 8.489 Å, c = 8.513 Å, α = 90.00°, β = 90.00° and γ = 90.00°. The inequivalent atoms are Pr at (0.000, 0.000, 0.000), Pr at (0.138, 0.160, 0.342), Bi at (0.000, 0.142, 0.642) and Te at (0.198, 0.000, 0.000).



# 6
The following is a DFT calculation (PBE) of crystalline Pr4BiTe2 at its relaxed geometry.

The total DFT energy (no corrections) is -5.23 eV per atom. Its magnetic moment is 0.00 μB per formula unit. Its energy relative to the elements, uncorrected is -7.31 eV per formula unit.

It has space group Cmcm (No. 63), with a = 4.431 Å, b = 14.655 Å, c = 15.035 Å, α = 90.00°, β = 90.00° and γ = 90.00°. The inequivalent atoms are Pr at (0.000, 0.000, 0.000), Pr at (0.000, 0.280, 0.128), Pr at (0.000, 0.439, 0.750), Bi at (0.000, 0.099, 0.750) and Te at (0.000, 0.359, 0.561).



| no. | volume (A^3/atom) |
| --- | --- |
| 1 | 36.81 |
| 2 | 32.06 |
| 3 | 34.61 |
| 4 | 33.40 |
| 5 | 32.50 |
| 6 | 34.87 |